1.
Density functional theory data (PBE) for an optimized crystal structure of PmTcB2.

Cell and atoms, written as POSCAR:
```
PmTcB2
1.0
3.0911 0.0000 -0.8333
0.0000 5.5181 0.0000
0.1186 0.0000 6.5942
Tc B Pm
2 4 2
Direct
0.3469 0.2500 0.6933
0.6531 0.7500 0.3067
0.7468 0.4131 0.4936
0.7468 0.0869 0.4936
0.2532 0.9131 0.5064
0.2532 0.5869 0.5064
0.9167 0.7500 0.8332
0.0833 0.2500 0.1668
```

Computed properties:
ΔH_f (0 K), eV per atom: -0.417
Polymorph energy (0 for the lowest one), meV per atom: 0

***

2.
Density functional theory data (PBE) for an optimized crystal structure of PmH6Pt4.

Cell and atoms, written as POSCAR:
```
PmH6Pt4
1.0
6.2579 0.3405 3.5933
-1.5641 5.9580 3.7654
1.2386 1.7682 5.5468
Pm Pt H
1 4 6
Direct
0.0756 0.1110 0.9018
0.4020 0.4336 0.8796
0.7896 0.4218 0.8803
0.3905 0.8017 0.8998
0.7784 0.8070 0.8814
0.1512 0.0204 0.5058
0.2276 0.6261 0.9091
0.5540 0.4250 0.5187
0.9469 0.6098 0.8611
0.5604 0.9555 0.9061
0.6238 0.2883 0.8562
```

***

3.
Density functional theory data (PBE) for an optimized crystal structure of CoPBr2.

Cell and atoms, written as POSCAR:
```
CoPBr2
1.0
4.1160 0.8906 2.4853
-2.0920 -3.0183 3.2287
0.6033 -1.8140 -4.5007
Co Br P
1 2 1
Direct
0.5000 0.5000 0.0000
0.0000 0.5000 0.5000
0.5000 0.0000 0.5000
0.0000 0.0000 0.0000
```

Computed properties:
Polymorph energy (0 for the lowest one), meV per atom: 983
ΔE_f (raw), eV/atom: 0.65

***

4.
Density functional theory data (PBE) for an optimized crystal structure of RbTl2Si2.

Cell and atoms, written as POSCAR:
```
RbTl2Si2
1.0
-6.3186 5.2756 -2.4142
-4.1745 -1.6551 7.3088
1.9858 3.2324 1.8662
Tl Si Rb
4 4 2
Direct
0.6555 0.8445 0.5000
0.1555 0.6555 0.5000
0.3445 0.1555 0.5000
0.8445 0.3445 0.5000
0.5961 0.0961 0.0000
0.9039 0.5961 0.0000
0.4039 0.9039 0.0000
0.0961 0.4039 0.0000
0.5000 0.5000 0.0000
0.0000 0.0000 0.0000
```

Computed properties:
Polymorph energy (0 for the lowest one), meV per atom: 181
ΔE_f (raw), eV/atom: 0.35

***

Number 1: total DFT energy (no corrections) -7.5347 eV per atom. Number 2: total DFT energy (no corrections) -4.6494 eV per atom. Number 3: total DFT energy (no corrections) -3.3138 eV per atom. Number 4: total DFT energy (no corrections) -2.9596 eV per atom.